Entry 1:
The following is a DFT calculation (GGA-PBE) of a geometry-optimized AgHgAs2 structure.

a = 5.854 Å, b = 5.854 Å, c = 2.939 Å
α = 90.00°, β = 90.00°, γ = 123.62°
Positions (direct):
Ag (0.000, 0.000, 0.000)
Hg (0.500, 0.500, 0.000)
As (0.000, 0.500, 0.500)
As (0.500, 0.000, 0.500)

Properties
Symmetry: No. 65
Total magnetic moment, μB/f.u.: 0.00
D(E_F), states/eV/cell: 1.4

Entry 2:
The following is a DFT calculation (GGA-PBE) of a geometry-optimized Ag2HgAs2 structure.

a = 6.226 Å, b = 6.226 Å, c = 6.226 Å
α = 136.83°, β = 136.83°, γ = 62.70°
Positions (direct):
Ag (0.250, 0.750, 0.500)
Ag (0.750, 0.250, 0.500)
Hg (0.000, 0.000, 0.000)
As (0.385, 0.385, 0.000)
As (0.615, 0.615, 0.000)

Properties
Symmetry: No. 139
Total magnetic moment, μB/f.u.: 0.00
D(E_F), states/eV/cell: 3.4

Entry 3:
The following is a DFT calculation (GGA-PBE) of a geometry-optimized Ag2HgAs structure.

a = 9.387 Å, b = 9.387 Å, c = 9.387 Å
α = 19.36°, β = 19.36°, γ = 19.36°
Positions (direct):
Ag (0.000, 0.000, 0.000)
Ag (0.253, 0.253, 0.253)
Hg (0.501, 0.501, 0.501)
As (0.742, 0.742, 0.742)

Properties
Symmetry: No. 160
Total magnetic moment, μB/f.u.: 0.00
D(E_F), states/eV/cell: 1.9

Entry 4:
The following is a DFT calculation (GGA-PBE) of a geometry-optimized AgHgAs2 structure.

a = 4.139 Å, b = 4.184 Å, c = 4.741 Å
α = 90.00°, β = 90.00°, γ = 90.00°
Positions (direct):
Ag (0.000, 0.000, 0.000)
Hg (0.500, 0.500, 0.000)
As (0.000, 0.500, 0.500)
As (0.500, 0.000, 0.500)

Properties
Symmetry: No. 47
Total magnetic moment, μB/f.u.: 0.00
D(E_F), states/eV/cell: 1.9

no.,final energy (eV/atom)
1,-2.7862
2,-2.8421
3,-2.4723
4,-2.7933